Record 1
Material: Tb6Dy2Ho3Mg
Method: DFT, PBE
State: relaxed

Cell: 6.113 6.113 11.643 Å, 95.05 95.05 120.04°
Sites, in units of the cell vectors:
Ho (0.834, 0.166, 0.500)
Ho (0.500, 0.500, 0.500)
Ho (0.166, 0.834, 0.500)
Tb (0.251, 0.251, 0.750)
Tb (0.415, 0.082, 0.249)
Tb (0.749, 0.749, 0.250)
Tb (0.585, 0.918, 0.751)
Tb (0.082, 0.415, 0.249)
Tb (0.918, 0.585, 0.751)
Dy (0.666, 0.334, 0.000)
Dy (0.334, 0.666, 0.000)
Mg (0.000, 0.000, 0.000)

Summary:
Crystal system   monoclinic
ΔE_f   0.02 eV/atom
SG   C2/m, No. 12

Record 2
Material: TbDyHoMg
Method: DFT, PBE
State: relaxed

Cell: 5.492 5.492 5.492 Å, 60.00 60.00 60.00°
Sites, in units of the cell vectors:
Ho (0.000, 0.000, 0.000)
Dy (0.750, 0.750, 0.750)
Mg (0.500, 0.500, 0.500)
Tb (0.250, 0.250, 0.250)

Summary:
Crystal system   cubic
ΔE_f   0.05 eV/atom
SG   F-43m, No. 216